## ZnSnAs2Se (PBE)

Data for a relaxed ZnSnAs2Se crystal.

Results
raw formation energy	2.1	eV/f.u.
space group	P4/mmm (123)

Lattice parameters (Å, degrees): 4.826 4.826 5.162 90.00 90.00 90.00
Fractional coordinates of all 5 atoms:
Zn (0.000, 0.000, 0.000)
As (0.000, 0.500, 0.000)
As (0.500, 0.000, 0.000)
Sn (0.500, 0.500, 0.500)
Se (0.000, 0.000, 0.500)